VASP calculation (PBE) on Na5Sn2Pb6 after structural relaxation.

Computed properties:
* symmetry: Pbam, No. 55
* total magnetic moment: 0.0 Bohr magnetons per cell

Geometry as CIF:
```
data_Na5Sn2Pb6
_chemical_formula_sum 'Na10 Sn4 Pb12'
_cell_length_a 11.5134
_cell_length_b 19.2825
_cell_length_c 3.5224
_cell_angle_alpha 90.00
_cell_angle_beta 90.00
_cell_angle_gamma 90.00
_space_group_name_H-M_alt 'P 1'
_space_group_IT_number 1
loop_
_space_group_symop_operation_xyz
'x,y,z'
loop_
_atom_site_label
_atom_site_type_symbol
_atom_site_fract_x
_atom_site_fract_y
_atom_site_fract_z
Na1 Na 0.0000 0.0000 0.0000
Na2 Na 0.0441 0.2796 0.0000
Na3 Na 0.1929 0.5642 0.0000
Na4 Na 0.3071 0.0642 0.0000
Na5 Na 0.4559 0.7796 0.0000
Na6 Na 0.5000 0.5000 0.0000
Na7 Na 0.5441 0.2204 0.0000
Na8 Na 0.6929 0.9358 0.0000
Na9 Na 0.8071 0.4358 0.0000
Na10 Na 0.9559 0.7204 0.0000
Sn1 Sn 0.2025 0.7238 0.5000
Sn2 Sn 0.2975 0.2238 0.5000
Sn3 Sn 0.7025 0.7762 0.5000
Sn4 Sn 0.7975 0.2762 0.5000
Pb1 Pb 0.0669 0.4256 0.5000
Pb2 Pb 0.0725 0.1352 0.5000
Pb3 Pb 0.1893 0.8635 0.0000
Pb4 Pb 0.3107 0.3635 0.0000
Pb5 Pb 0.4275 0.6352 0.5000
Pb6 Pb 0.4331 0.9256 0.5000
Pb7 Pb 0.5669 0.0744 0.5000
Pb8 Pb 0.5725 0.3648 0.5000
Pb9 Pb 0.6893 0.6365 0.0000
Pb10 Pb 0.8107 0.1365 0.0000
Pb11 Pb 0.9275 0.8648 0.5000
Pb12 Pb 0.9331 0.5744 0.5000
```

***

VASP calculation (PBE) on NaSn2Pb6 after structural relaxation.

Computed properties:
* symmetry: C2/m, No. 12
* total magnetic moment: 0.0 Bohr magnetons per cell

Geometry as CIF:
```
data_NaSn2Pb6
_chemical_formula_sum 'Na1 Sn2 Pb6'
_cell_length_a 6.8147
_cell_length_b 6.8147
_cell_length_c 9.3926
_cell_angle_alpha 122.08
_cell_angle_beta 122.08
_cell_angle_gamma 50.88
_space_group_name_H-M_alt 'P 1'
_space_group_IT_number 1
loop_
_space_group_symop_operation_xyz
'x,y,z'
loop_
_atom_site_label
_atom_site_type_symbol
_atom_site_fract_x
_atom_site_fract_y
_atom_site_fract_z
Na1 Na 0.0000 0.0000 0.0000
Sn1 Sn 0.4337 0.4337 0.7610
Sn2 Sn 0.5663 0.5663 0.2390
Pb1 Pb 0.1032 0.1032 0.4278
Pb2 Pb 0.2451 0.2451 0.8981
Pb3 Pb 0.3388 0.3388 0.3399
Pb4 Pb 0.6612 0.6612 0.6601
Pb5 Pb 0.7549 0.7549 0.1019
Pb6 Pb 0.8968 0.8968 0.5722
```

***

VASP calculation (PBE) on NaSnPb2 after structural relaxation.

Computed properties:
* symmetry: R-3m, No. 166
* total magnetic moment: 0.0 Bohr magnetons per cell

Geometry as CIF:
```
data_NaSnPb2
_chemical_formula_sum 'Na1 Sn1 Pb2'
_cell_length_a 10.6629
_cell_length_b 10.6629
_cell_length_c 10.6629
_cell_angle_alpha 19.77
_cell_angle_beta 19.77
_cell_angle_gamma 19.77
_space_group_name_H-M_alt 'P 1'
_space_group_IT_number 1
loop_
_space_group_symop_operation_xyz
'x,y,z'
loop_
_atom_site_label
_atom_site_type_symbol
_atom_site_fract_x
_atom_site_fract_y
_atom_site_fract_z
Na1 Na 0.0000 0.0000 0.0000
Sn1 Sn 0.5000 0.5000 0.5000
Pb1 Pb 0.2468 0.2468 0.2468
Pb2 Pb 0.7532 0.7532 0.7532
```

***

Number 1: E_tot -76.032 eV/cell, formation energy from the elements -89.6 meV per atom. Number 2: E_tot -31.688 eV/cell, formation energy from the elements -12.6 meV per atom. Number 3: E_tot -12.866 eV/cell, formation energy from the elements -31.7 meV per atom.